Record 1
VASP calculation (PBE) on an optimized crystal structure of ScBeAu2.

Lattice parameters (Å, degrees): 4.363 4.363 3.541 90.00 90.00 90.00
Element x y z (fractional)
Sc: 0.000 0.500 0.500
Au: 0.000 0.000 0.000
Au: 0.500 0.500 0.000
Be: 0.500 0.000 0.500

Properties
As for the calculated total energy: -4.4488 eV/atom. Its space group is P4/mmm.

***

Record 2
VASP calculation (PBE) on an optimized crystal structure of ScBe2Au7.

Lattice parameters (Å, degrees): 4.390 6.931 6.931 114.72 90.00 90.00
Element x y z (fractional)
Au: 0.000 0.757 0.243
Au: 0.500 0.064 0.318
Au: 0.500 0.500 0.500
Au: 0.500 0.682 0.936
Au: 0.500 0.936 0.682
Au: 0.000 0.243 0.757
Au: 0.500 0.318 0.064
Sc: 0.000 0.000 0.000
Be: 0.500 0.301 0.699
Be: 0.500 0.699 0.301

Properties
As for the calculated total energy: -3.8379 eV/atom. Its space group is Cmmm.

***

Record 3
VASP calculation (PBE) on an optimized crystal structure of ScBe4Au.

Lattice parameters (Å, degrees): 4.651 4.651 4.651 60.00 60.00 60.00
Element x y z (fractional)
Be: 0.379 0.379 0.379
Be: 0.379 0.379 0.864
Be: 0.379 0.864 0.379
Be: 0.864 0.379 0.379
Au: 0.000 0.000 0.000
Sc: 0.750 0.750 0.750

Properties
As for the calculated total energy: -4.2061 eV/atom. Its space group is F-43m.